Density functional theory data (PBE-GGA) for an optimized crystal structure of CsRbTlBr4.

Calculated values
- E_form (uncorrected): -8.843 eV per formula unit
- Space-group type: No. 63

Structure (POSCAR):
```
CsRbTlBr4
1.0
4.0743 -9.0848 0.0000
4.0743 9.0848 0.0000
0.0000 0.0000 8.1730
Cs Rb Tl Br
2 2 2 8
direct
0.1073 0.8927 0.7500
0.8927 0.1073 0.2500
0.3905 0.6095 0.7500
0.6095 0.3905 0.2500
0.2523 0.7477 0.2500
0.7477 0.2523 0.7500
0.0000 0.5000 0.0000
0.0000 0.5000 0.5000
0.0872 0.9128 0.2500
0.4193 0.5807 0.2500
0.5000 0.0000 0.0000
0.5000 0.0000 0.5000
0.5807 0.4193 0.7500
0.9128 0.0872 0.7500
```

---

Density functional theory data (PBE-GGA) for an optimized crystal structure of Ga2BRh6.

Calculated values
- Formation enthalpy at 0 K: -0.142 eV per atom
- Space-group type: No. 12

Structure (POSCAR):
```
Ga2BRh6
1.0
5.8387 -2.8456 0.0000
5.8387 2.8456 0.0000
-1.5787 0.0000 4.0293
Ga B Rh
2 1 6
direct
0.1726 0.1726 0.1691
0.8274 0.8274 0.8309
0.5000 0.5000 0.5000
0.1018 0.6088 0.3578
0.2836 0.7164 0.0000
0.3912 0.8982 0.6422
0.6088 0.1018 0.3578
0.7164 0.2836 0.0000
0.8982 0.3912 0.6422
```

---

Density functional theory data (PBE-GGA) for an optimized crystal structure of CaNiSbTe2.

Calculated values
- E_form (uncorrected): -1.571 eV per formula unit
- Energy relative to the lowest polymorph listed for this composition: 0 meV/atom
- Space-group type: No. 123

Structure (POSCAR):
```
CaNiSbTe2
1.0
5.4425 0.0000 0.0000
0.0000 5.4425 0.0000
0.0000 0.0000 4.7156
Ca Ni Sb Te
1 1 1 2
direct
0.0000 0.0000 0.0000
0.5000 0.5000 0.5000
0.5000 0.5000 0.0000
0.0000 0.5000 0.5000
0.5000 0.0000 0.5000
```